(1)
The following is a DFT calculation (PBE) of a relaxed Zn2CrCo crystal.

Output
**N(E_F)**: 4.295 states/eV per cell
**Energy of formation**: 0.038 eV/atom

a b c (Å): 2.636 2.636 7.226
angles (deg): 90.00 90.00 90.00
Positions (direct):
Co 0.000 0.000 0.517
Zn 0.000 0.000 0.986
Cr 0.500 0.500 0.724
Zn 0.500 0.500 0.273

---

(2)
The following is a DFT calculation (PBE) of a relaxed Ca2YIr crystal.

Output
**N(E_F)**: 2.129 states/eV per cell
**Energy of formation**: -0.075 eV/atom

a b c (Å): 9.807 9.807 7.459
angles (deg): 48.90 48.90 90.00
Positions (direct):
Ca 0.875 0.994 0.750
Ca 0.006 0.625 0.250
Ir 0.000 0.000 0.000
Ca 0.375 0.256 0.750
Ir 0.750 0.250 0.500
Y 0.500 0.500 0.000
Y 0.250 0.750 0.500
Ca 0.744 0.125 0.250

---

(3)
The following is a DFT calculation (PBE) of a relaxed Sc5IrPd2 crystal.

Output
**N(E_F)**: 15.274 states/eV per cell
**Energy of formation**: -0.717 eV/atom

a b c (Å): 6.749 6.749 8.479
angles (deg): 113.45 113.45 90.00
Positions (direct):
Sc 0.981 0.481 0.306
Sc 0.675 0.175 0.694
Sc 0.481 0.325 0.306
Ir 0.250 0.250 0.500
Ir 0.750 0.750 0.500
Pd 0.137 0.363 0.000
Pd 0.637 0.137 0.000
Pd 0.363 0.863 0.000
Sc 0.500 0.500 0.000
Sc 0.519 0.675 0.694
Sc 0.000 0.000 0.000
Sc 0.825 0.981 0.306
Sc 0.325 0.825 0.306
Sc 0.175 0.019 0.694
Sc 0.019 0.519 0.694
Pd 0.863 0.637 0.000

---

(4)
The following is a DFT calculation (PBE) of a relaxed Pa2VIn crystal.

Output
**N(E_F)**: 7.831 states/eV per cell
**Energy of formation**: 0.095 eV/atom

a b c (Å): 3.086 3.086 9.350
angles (deg): 90.00 90.00 90.00
Positions (direct):
V 0.500 0.500 0.000
In 0.500 0.500 0.500
Pa 0.000 0.000 0.217
Pa 0.000 0.000 0.783

---

(5)
The following is a DFT calculation (PBE) of a relaxed DyPt2Pb crystal.

Output
**N(E_F)**: 2.501 states/eV per cell
**Energy of formation**: -0.688 eV/atom

a b c (Å): 3.797 4.693 4.693
angles (deg): 90.00 90.00 90.00
Positions (direct):
Pt 0.000 0.000 0.500
Pb 0.500 0.500 0.500
Pt 0.000 0.500 0.000
Dy 0.500 0.000 0.000

---

(6)
The following is a DFT calculation (PBE) of a relaxed Zr2AgAu2 crystal.

Output
**N(E_F)**: 6.870 states/eV per cell
**Energy of formation**: -0.176 eV/atom

a b c (Å): 8.374 8.374 2.989
angles (deg): 90.00 90.00 90.00
Positions (direct):
Zr 0.666 0.166 0.000
Zr 0.334 0.834 0.000
Au 0.129 0.629 0.500
Zr 0.834 0.666 0.000
Au 0.371 0.129 0.500
Ag 0.000 0.000 0.000
Zr 0.166 0.334 0.000
Au 0.629 0.871 0.500
Au 0.871 0.371 0.500
Ag 0.500 0.500 0.000

---

(7)
The following is a DFT calculation (PBE) of a relaxed ScZn2Ni crystal.

Output
**N(E_F)**: 1.522 states/eV per cell
**Energy of formation**: -0.291 eV/atom

a b c (Å): 3.054 3.054 6.611
angles (deg): 90.00 90.00 90.00
Positions (direct):
Sc 0.500 0.500 0.720
Zn 0.500 0.500 0.272
Zn 0.000 0.000 0.032
Ni 0.000 0.000 0.477

---

(8)
The following is a DFT calculation (PBE) of a relaxed MgPtAu3 crystal.

Output
**N(E_F)**: 2.743 states/eV per cell
**Energy of formation**: 0.471 eV/atom

a b c (Å): 5.072 5.072 5.072
angles (deg): 90.00 90.00 90.00
Positions (direct):
Au 0.000 0.500 0.000
Au 0.500 0.000 0.000
Pt 0.000 0.000 0.000
Mg 0.500 0.500 0.500
Au 0.000 0.000 0.500

---

(9)
The following is a DFT calculation (PBE) of a relaxed CoOs2Pt2 crystal.

Output
**N(E_F)**: 9.093 states/eV per cell
**Energy of formation**: 0.672 eV/atom

a b c (Å): 3.547 3.547 6.989
angles (deg): 75.30 75.30 90.00
Positions (direct):
Pt 0.403 0.403 0.194
Os 0.250 0.750 0.500
Pt 0.597 0.597 0.806
Os 0.750 0.250 0.500
Co 0.000 0.000 0.000

---

(10)
The following is a DFT calculation (PBE) of a relaxed CeEuY2 crystal.

Output
**N(E_F)**: 9.725 states/eV per cell
**Energy of formation**: 0.218 eV/atom

a b c (Å): 5.782 5.782 5.782
angles (deg): 60.00 60.00 60.00
Positions (direct):
Ce 0.500 0.500 0.500
Eu 0.000 0.000 0.000
Y 0.250 0.250 0.250
Y 0.750 0.750 0.750

---

(11)
The following is a DFT calculation (PBE) of a relaxed Pm2SmNpP4 crystal.

Output
**N(E_F)**: 11.123 states/eV per cell
**Energy of formation**: -1.382 eV/atom

a b c (Å): 4.072 7.061 7.064
angles (deg): 109.30 90.00 90.00
Positions (direct):
P 0.500 0.760 0.761
Pm 0.500 0.000 0.500
Pm 0.000 0.500 0.500
Sm 0.500 0.500 0.000
Np 0.000 0.000 0.000
P 0.000 0.755 0.243
P 0.500 0.240 0.239
P 0.000 0.245 0.757

---

(12)
The following is a DFT calculation (PBE) of a relaxed MnTcRh2 crystal.

Output
**N(E_F)**: 9.022 states/eV per cell
**Energy of formation**: 0.402 eV/atom

a b c (Å): 3.731 3.731 9.100
angles (deg): 78.17 78.17 90.00
Positions (direct):
Rh 0.133 0.625 0.250
Rh 0.617 0.125 0.250
Mn 0.500 0.500 0.000
Rh 0.375 0.383 0.750
Rh 0.875 0.867 0.750
Tc 0.750 0.250 0.500
Mn 0.250 0.750 0.500
Tc 0.000 0.000 0.000

---

(13)
The following is a DFT calculation (PBE) of a relaxed LiCu3Br4 crystal.

Output
**Formation energy (no corrections)**: -12.9 kcal/mol of atoms

a b c (Å): 5.759 5.759 7.049
angles (deg): 114.11 114.11 90.00
Positions (direct):
Br 0.128 0.617 0.745
Cu 0.500 0.500 0.000
Cu 0.250 0.750 0.500
Br 0.872 0.872 0.255
Li 0.000 0.000 0.000
Br 0.383 0.383 0.255
Cu 0.750 0.250 0.500
Br 0.617 0.128 0.745

---

(14)
The following is a DFT calculation (PBE) of a relaxed SmSc2PaSb4 crystal.

Output
**Formation energy (no corrections)**: -20.0 kcal/mol of atoms
**N(E_F)**: 6.603 states/eV per cell

a b c (Å): 4.300 7.471 7.382
angles (deg): 109.51 90.00 90.00
Positions (direct):
Sb 0.500 0.253 0.268
Sc 0.500 0.000 0.500
Sc 0.000 0.500 0.500
Sb 0.000 0.760 0.268
Sm 0.500 0.500 0.000
Sb 0.000 0.240 0.732
Sb 0.500 0.747 0.732
Pa 0.000 0.000 0.000

---

(15)
The following is a DFT calculation (PBE) of a relaxed Pm2SmTmSc crystal.

Output
**N(E_F)**: 13.561 states/eV per cell
**Energy of formation**: 0.359 eV/atom

a b c (Å): 7.167 8.209 7.003
angles (deg): 125.88 90.00 90.00
Positions (direct):
Sm 0.250 0.729 0.457
Sc 0.250 0.991 0.982
Sm 0.750 0.271 0.543
Tm 0.750 0.739 0.477
Pm 0.500 0.699 0.000
Pm 0.500 0.301 0.000
Tm 0.250 0.261 0.523
Sc 0.750 0.009 0.018
Pm 0.000 0.301 0.000
Pm 0.000 0.699 0.000

---

(16)
The following is a DFT calculation (PBE) of a relaxed KSi2Mo crystal.

Output
**Formation energy (no corrections)**: 20.5 kcal/mol of atoms
**N(E_F)**: 3.334 states/eV per cell

a b c (Å): 4.705 4.705 4.705
angles (deg): 60.00 60.00 60.00
Positions (direct):
Mo 0.500 0.500 0.500
Si 0.750 0.750 0.750
K 0.000 0.000 0.000
Si 0.250 0.250 0.250

---

(17)
The following is a DFT calculation (PBE) of a relaxed Pr2Ho15Er2 crystal.

Output
**N(E_F)**: 31.851 states/eV per cell
**Energy of formation**: 0.299 eV/atom

a b c (Å): 8.689 8.689 8.689
angles (deg): 79.73 79.73 79.73
Positions (direct):
Ho 0.154 0.630 0.630
Ho 0.304 0.696 0.000
Ho 0.696 0.000 0.304
Er 0.328 0.328 0.328
Ho 0.846 0.370 0.370
Ho 0.696 0.304 0.000
Ho 0.370 0.370 0.846
Ho 0.000 0.304 0.696
Pr 0.118 0.118 0.118
Ho 0.630 0.630 0.154
Er 0.672 0.672 0.672
Ho 0.304 0.000 0.696
Ho 0.000 0.000 0.500
Ho 0.000 0.696 0.304
Ho 0.500 0.000 0.000
Pr 0.882 0.882 0.882
Ho 0.370 0.846 0.370
Ho 0.630 0.154 0.630
Ho 0.000 0.500 0.000

---

(18)
The following is a DFT calculation (PBE) of a relaxed PmZn5Cu7 crystal.

Output
**N(E_F)**: 5.418 states/eV per cell
**Energy of formation**: -0.124 eV/atom

a b c (Å): 4.968 6.648 6.648
angles (deg): 82.29 68.06 68.06
Positions (direct):
Cu 0.278 0.222 0.222
Cu 0.642 0.358 0.358
Cu 0.002 0.642 0.354
Cu 0.501 0.772 0.226
Cu 0.353 0.647 0.647
Pm 0.995 0.005 0.005
Cu 0.501 0.226 0.772
Zn 0.722 0.778 0.778
Zn 0.500 0.002 0.496
Zn 0.500 0.496 0.002
Zn 0.002 0.002 0.496
Cu 0.002 0.354 0.642
Zn 0.002 0.496 0.002

---

(19)
The following is a DFT calculation (PBE) of a relaxed Cd2InPb crystal.

Output
**N(E_F)**: 0.444 states/eV per cell
**Energy of formation**: 0.038 eV/atom

a b c (Å): 3.710 3.710 7.710
angles (deg): 90.00 90.00 90.00
Positions (direct):
In 0.000 0.000 0.475
Cd 0.000 0.000 0.026
Cd 0.500 0.500 0.239
Pb 0.500 0.500 0.760